KSrZnSe2 after structural relaxation. Source: Alexandria via LeMat-Bulk, functional PBE.

Cell and atoms, written as CIF:
```
data_KSrZnSe2
_chemical_formula_sum 'K2 Sr2 Zn2 Se4'
_symmetry_space_group_name_H-M 'P 1 2/c 1'
_symmetry_Int_Tables_number 13
_cell_length_a 7.661
_cell_length_b 4.970
_cell_length_c 8.537
_cell_angle_alpha 90.00
_cell_angle_beta 101.86
_cell_angle_gamma 90.00
loop_
_symmetry_equiv_pos_as_xyz
'x,y,z'
'-x,-y,-z'
'-x,y,-z+1/2'
'x,-y,z+1/2'
loop_
_atom_site_label
_atom_site_fract_x
_atom_site_fract_y
_atom_site_fract_z
K1 0.000 0.024 0.250
Sr1 0.500 0.289 0.750
Zn1 0.000 0.500 0.000
Se1 0.294 0.231 0.038
```

## Properties
* total DFT energy (no corrections): -3.16 eV per atom
* formation energy from raw total energies: -0.9531 eV per atom
* crystal system: monoclinic
* M_tot: 0.000 μB per atom